(1)
DFT (PBE-GGA) results for a relaxed Pm2SbI crystal.

Unit cell a=3.891 b=3.891 c=7.863 alpha=90.00 beta=90.00 gamma=90.00
Each line ends with the local moment (μB).
Element x y z (fractional)
I 0.500 0.500 0.500  0.00
Sb 0.500 0.500 0.000  -0.01
Pm 0.000 0.000 0.775  0.25
Pm 0.000 0.000 0.225  0.25

## Properties
- theoretical density (kg/m3) = 7515

(2)
DFT (PBE-GGA) results for a relaxed Pm2SbI crystal.

Unit cell a=5.519 b=5.524 c=6.260 alpha=89.95 beta=90.04 gamma=125.79
Element x y z (fractional)
Pm 0.723 0.507 0.130
Pm 0.414 0.818 0.630
Sb 0.730 0.502 0.630
I 0.410 0.821 0.130

## Properties
- theoretical density (kg/m3) = 5777

Which one is most stable, and which one is least stable? (1) is the most stable of them, while (2) is the least stable.

(1)
DFT (PBE-GGA) results for a relaxed Pm2SiI crystal.

Unit cell a=3.653 b=3.653 c=8.148 alpha=90.00 beta=90.00 gamma=90.00
Each line ends with the local moment (μB).
Element x y z (fractional)
I 0.500 0.500 0.500  0.00
Si 0.500 0.500 0.000  0.00
Pm 0.000 0.000 0.785  0.08
Pm 0.000 0.000 0.215  0.08

## Properties
- theoretical density (kg/m3) = 6797

(2)
DFT (PBE-GGA) results for a relaxed Pm2SiI crystal.

Unit cell a=5.346 b=5.346 c=5.346 alpha=60.00 beta=60.00 gamma=60.00
Element x y z (fractional)
I 0.000 0.000 0.000
Si 0.500 0.500 0.500
Pm 0.250 0.250 0.250
Pm 0.750 0.750 0.750

## Properties
- theoretical density (kg/m3) = 6839

(3)
DFT (PBE-GGA) results for a relaxed Pm2SiI crystal.

Unit cell a=4.301 b=4.301 c=8.047 alpha=74.50 beta=74.50 gamma=60.00
Element x y z (fractional)
I 0.500 0.500 0.500
Si 0.000 0.000 0.000
Pm 0.268 0.268 0.197
Pm 0.732 0.732 0.803

## Properties
- theoretical density (kg/m3) = 6025

(4)
DFT (PBE-GGA) results for a relaxed Pm2SiI crystal.

Unit cell a=4.259 b=4.259 c=8.189 alpha=74.93 beta=74.93 gamma=60.00
Element x y z (fractional)
Pm 0.066 0.066 0.803
Pm 0.268 0.268 0.196
Si 0.668 0.668 0.996
I 0.499 0.499 0.504

## Properties
- theoretical density (kg/m3) = 6021

Which one is most stable, and which one is least stable? (3) is the most stable of them, while (2) is the least stable.

(1)
DFT (PBE-GGA) results for a relaxed PmSmI crystal.

Unit cell a=3.741 b=3.741 c=7.627 alpha=104.20 beta=104.20 gamma=90.00
Element x y z (fractional)
I 0.333 0.333 0.666
Sm 0.671 0.671 0.342
Pm 0.996 0.996 0.993

## Properties
- theoretical density (kg/m3) = 7004

(2)
DFT (PBE-GGA) results for a relaxed PmSmI crystal.

Unit cell a=3.910 b=3.910 c=7.767 alpha=90.00 beta=90.00 gamma=120.00
Each line ends with the local moment (μB).
Element x y z (fractional)
I 0.667 0.333 0.334  0.00
Sm 0.333 0.667 0.655  0.10
Pm 0.000 0.000 0.010  0.10

## Properties
- theoretical density (kg/m3) = 6819

Which one is most stable, and which one is least stable? (2) is the most stable of them, while (1) is the least stable.

(1)
DFT (PBE-GGA) results for a relaxed PmSmI2 crystal.

Unit cell a=3.867 b=3.867 c=9.940 alpha=78.78 beta=78.78 gamma=60.00
Element x y z (fractional)
Pm 0.502 0.502 0.494
Sm 0.665 0.665 0.005
I 0.083 0.083 0.750
I 0.250 0.250 0.250

## Properties
- theoretical density (kg/m3) = 7272

(2)
DFT (PBE-GGA) results for a relaxed PmSmI2 crystal.

Unit cell a=3.833 b=3.833 c=10.147 alpha=79.11 beta=79.11 gamma=60.00
Element x y z (fractional)
I 0.250 0.250 0.249
I 0.750 0.750 0.751
Sm 0.000 0.000 0.000
Pm 0.500 0.500 0.500

## Properties
- theoretical density (kg/m3) = 7236

Which one is most stable, and which one is least stable? (1) is the most stable of them, while (2) is the least stable.

(1)
DFT (PBE-GGA) results for a relaxed PmSm2I6 crystal.

Unit cell a=7.662 b=7.662 c=8.433 alpha=62.98 beta=62.98 gamma=60.00
Element x y z (fractional)
Pm 0.354 0.354 0.939
Sm 0.683 0.683 0.951
Sm 0.518 0.518 0.445
I 0.784 0.425 0.692
I 0.099 0.784 0.692
I 0.425 0.099 0.692
I 0.253 0.615 0.198
I 0.935 0.253 0.198
I 0.615 0.935 0.198

## Properties
- theoretical density (kg/m3) = 5492

(2)
DFT (PBE-GGA) results for a relaxed PmSm2I6 crystal.

Unit cell a=4.193 b=8.979 c=11.534 alpha=115.43 beta=90.00 gamma=103.50
Element x y z (fractional)
Pm 0.000 0.000 0.500
Sm 0.674 0.348 0.845
Sm 0.326 0.652 0.155
I 0.316 0.632 0.877
I 0.684 0.368 0.123
I 0.975 0.950 0.213
I 0.647 0.294 0.552
I 0.025 0.050 0.787
I 0.353 0.706 0.448

## Properties
- theoretical density (kg/m3) = 5291

Which one is most stable, and which one is least stable? (2) is the most stable of them, while (1) is the least stable.

(1)
DFT (PBE-GGA) results for a relaxed Pm2SnI crystal.

Unit cell a=4.559 b=4.559 c=7.893 alpha=73.21 beta=73.21 gamma=60.00
Element x y z (fractional)
I 0.000 0.000 0.000
Sn 0.500 0.500 0.500
Pm 0.761 0.761 0.717
Pm 0.239 0.239 0.283

## Properties
- theoretical density (kg/m3) = 6642

(2)
DFT (PBE-GGA) results for a relaxed Pm2SnI crystal.

Unit cell a=3.696 b=3.696 c=8.503 alpha=90.00 beta=90.00 gamma=90.00
Element x y z (fractional)
I 0.500 0.500 0.000
Sn 0.500 0.500 0.500
Pm 0.000 0.000 0.742
Pm 0.000 0.000 0.258

## Properties
- theoretical density (kg/m3) = 7657

Which one is most stable, and which one is least stable? (1) is the most stable of them, while (2) is the least stable.